! CaV3Cl, optimized geometry, DFT PBE; values from VASP
! Size of the total moment   2.4 μB per formula unit
! Symmetry   Pm-3m, No. 221
! Formation energy from raw total energies   0.594 eV/atom
! DOS at the Fermi energy   5.42 states/eV/f.u.
&SYSTEM
  ibrav = 0, nat = 5, ntyp = 3
/
ATOMIC_SPECIES
Ca 40.08 Ca.upf
V 50.94 V.upf
Cl 35.45 Cl.upf
ATOMIC_POSITIONS crystal
Ca 0.0000 0.0000 0.0000
V 0.0000 0.5000 0.5000
V 0.5000 0.0000 0.5000
V 0.5000 0.5000 0.0000
Cl 0.5000 0.5000 0.5000
CELL_PARAMETERS angstrom
4.4495 0.0000 0.0000
0.0000 4.4495 0.0000
0.0000 0.0000 4.4495